Record 1
ZrTlIO2, optimized geometry, DFT PBE; energy above the most stable polymorph in this dataset = 1775 meV per atom; formation energy (no corrections) = 0.25 eV/atom; DFT total energy = -4.23 eV/atom; magnetization = 1.56 μB/f.u.; density of states at the Fermi level = 5.9 states/eV/cell
1.0
-1.158 -2.542 -3.264
3.531 1.160 -2.156
3.016 -4.563 2.484
Zr Tl O I
1 1 2 1
Direct
0.500 0.500 0.500
0.000 0.000 0.000
0.000 0.500 0.000
0.500 0.000 0.000
0.000 0.000 0.500

=====

Record 2
MnPd2Rh5, optimized geometry, DFT PBE; DFT total energy = -7.07 eV/atom; magnetization = 2.12 μB/f.u.; ΔE_f = -0.0339 eV per atom; density of states at the Fermi level = 11.7 states/eV/cell
1.0
0.049 0.207 -3.839
-3.347 -1.888 -0.144
-2.152 7.555 2.306
Rh Pd Mn
5 2 1
Direct
0.381 0.881 0.762
0.119 0.619 0.238
0.500 0.500 0.000
0.619 0.119 0.238
0.881 0.381 0.762
0.250 0.250 0.500
0.750 0.750 0.500
0.000 0.000 0.000

=====

Record 3
DyTm2, optimized geometry, DFT PBE; energy above the most stable polymorph in this dataset = 4 meV per atom; DFT total energy = -4.52 eV/atom; magnetization = 0.00 μB/f.u.; ΔE_f = -0.0001 eV per atom; density of states at the Fermi level = 10.3 states/eV/cell
1.0
5.907 0.000 1.853
2.725 5.787 1.654
1.374 0.962 5.961
Tm Dy
4 2
Direct
0.583 0.250 0.417
0.417 0.750 0.583
0.250 0.250 0.083
0.750 0.750 0.917
0.084 0.750 0.250
0.916 0.250 0.750

=====

Record 4
NdErFe10, optimized geometry, DFT PBE; DFT total energy = -7.84 eV/atom; magnetization = 19.81 μB/f.u.; ΔE_f = -0.0107 eV per atom; density of states at the Fermi level = 12.4 states/eV/cell
1.0
-2.133 3.096 -1.210
-3.968 -3.022 -0.736
-2.596 1.413 8.188
Fe Nd Er
10 1 1
Direct
0.500 0.253 0.745
0.000 0.500 0.829
0.000 0.500 0.171
0.500 0.500 0.000
0.500 0.253 0.255
0.500 0.000 0.500
0.000 0.000 0.338
0.000 0.000 0.662
0.500 0.747 0.745
0.500 0.747 0.255
0.000 0.000 0.000
0.000 0.500 0.500

=====

Record 5
Na2Al3Au2, optimized geometry, DFT PBE; DFT total energy = -3.23 eV/atom; magnetization = 0.00 μB/f.u.; ΔE_f = -0.3160 eV per atom; density of states at the Fermi level = 1.5 states/eV/cell
1.0
-3.400 -2.677 -0.016
0.351 -3.967 3.999
-3.952 1.488 5.576
Al Na Au
3 2 2
Direct
0.500 0.000 0.000
0.635 0.175 0.556
0.365 0.825 0.444
0.844 0.527 0.785
0.156 0.473 0.215
0.877 0.028 0.218
0.123 0.972 0.782

=====

Record 6
GaHg6Pb2, optimized geometry, DFT PBE; DFT total energy = -1.31 eV/atom; magnetization = 0.00 μB/f.u.; ΔE_f = 0.0501 eV per atom; density of states at the Fermi level = 7.3 states/eV/cell
1.0
6.210 1.819 0.729
-1.226 6.353 0.729
1.037 1.701 12.222
Hg Ga Pb
12 2 4
Direct
0.931 0.029 0.381
0.971 0.069 0.119
0.706 0.627 0.175
0.294 0.373 0.825
0.515 0.898 0.894
0.627 0.706 0.675
0.029 0.931 0.881
0.069 0.971 0.619
0.898 0.515 0.394
0.102 0.485 0.606
0.485 0.102 0.106
0.373 0.294 0.325
0.236 0.764 0.250
0.764 0.236 0.750
0.449 0.793 0.439
0.551 0.207 0.561
0.207 0.551 0.061
0.793 0.449 0.939